Model a:
First-principles (PBE) data for a geometry-optimized Ba2GeSe4 structure, as listed in the Alexandria database.

The structure in CIF format:
```
data_Ba2GeSe4
_cell_length_a 5.122
_cell_length_b 5.122
_cell_length_c 8.954
_cell_angle_alpha 73.38
_cell_angle_beta 73.38
_cell_angle_gamma 90.00
_space_group_name_H-M_alt 'P 1'
_space_group_IT_number 1
loop_
_space_group_symop_operation_xyz
'x,y,z'
loop_
_atom_site_label
_atom_site_fract_x
_atom_site_fract_y
_atom_site_fract_z
Se1 0.838 0.838 0.323
Se2 0.500 0.000 0.000
Se3 0.000 0.500 0.000
Se4 0.162 0.162 0.677
Ge1 0.000 0.000 0.000
Ba1 0.640 0.640 0.721
Ba2 0.360 0.360 0.279
```

Calculated values
The symmetry is I4/mmm, No. 139. The crystal system is tetragonal. The volume is 30.7 Å³ per atom.

=====

Model b:
First-principles (PBE) data for a geometry-optimized Ba2GeSe4 structure, as listed in the Alexandria database.

The structure in CIF format:
```
data_Ba2GeSe4
_cell_length_a 7.179
_cell_length_b 7.215
_cell_length_c 9.254
_cell_angle_alpha 71.48
_cell_angle_beta 90.00
_cell_angle_gamma 90.00
_space_group_name_H-M_alt 'P 1'
_space_group_IT_number 1
loop_
_space_group_symop_operation_xyz
'x,y,z'
loop_
_atom_site_label
_atom_site_fract_x
_atom_site_fract_y
_atom_site_fract_z
Se1 0.250 0.588 0.130
Se2 0.750 0.412 0.870
Se3 0.008 0.996 0.768
Se4 0.250 0.626 0.562
Se5 0.992 0.004 0.232
Se6 0.508 0.004 0.232
Se7 0.492 0.996 0.768
Se8 0.750 0.374 0.438
Ge1 0.250 0.788 0.293
Ge2 0.750 0.212 0.707
Ba1 0.750 0.726 0.070
Ba2 0.250 0.274 0.930
Ba3 0.250 0.221 0.450
Ba4 0.750 0.779 0.550
```

Calculated values
The symmetry is P2_1/m, No. 11. The crystal system is monoclinic. The volume is 32.5 Å³ per atom.

=====

Which is most stable? The ranking, best first, is model b, model a.

=====

Model a:
First-principles (PBE) data for a geometry-optimized BaSi3Ge structure, as listed in the Alexandria database.

The structure in CIF format:
```
data_BaSi3Ge
_cell_length_a 5.588
_cell_length_b 5.588
_cell_length_c 5.588
_cell_angle_alpha 90.00
_cell_angle_beta 90.00
_cell_angle_gamma 90.00
_space_group_name_H-M_alt 'P 1'
_space_group_IT_number 1
loop_
_space_group_symop_operation_xyz
'x,y,z'
loop_
_atom_site_label
_atom_site_fract_x
_atom_site_fract_y
_atom_site_fract_z
Si1 0.000 0.500 0.000
Si2 0.500 0.000 0.000
Si3 0.000 0.000 0.500
Ba1 0.000 0.000 0.000
Ge1 0.500 0.500 0.500
```

Calculated values
The symmetry is Pm-3m, No. 221. The crystal system is cubic. The volume is 34.9 Å³ per atom.

=====

Model b:
First-principles (PBE) data for a geometry-optimized BaSi3Ge structure, as listed in the Alexandria database.

The structure in CIF format:
```
data_BaSi3Ge
_cell_length_a 5.006
_cell_length_b 5.006
_cell_length_c 5.006
_cell_angle_alpha 90.00
_cell_angle_beta 90.00
_cell_angle_gamma 90.00
_space_group_name_H-M_alt 'P 1'
_space_group_IT_number 1
loop_
_space_group_symop_operation_xyz
'x,y,z'
loop_
_atom_site_label
_atom_site_fract_x
_atom_site_fract_y
_atom_site_fract_z
Si1 0.000 0.000 0.500
Si2 0.500 0.000 0.000
Si3 0.000 0.500 0.000
Ba1 0.500 0.500 0.500
Ge1 0.000 0.000 0.000
```

Calculated values
The symmetry is Pm-3m, No. 221. The crystal system is cubic. The volume is 25.1 Å³ per atom.

=====

Which is most stable? The ranking, best first, is model b, model a.